(1)
Density functional theory data (PBE) for an optimized crystal structure of GaGeAu.

The structure in extended XYZ format:
```
6
Lattice="3.759 -2.170 0.000 0.000 4.341 0.000 0.000 0.000 9.968" Properties=species:S:1:pos:R:3 pbc="T T T"
Ge 0.000 0.000 0.000
Ge 0.000 0.000 4.984
Au 1.253 2.170 2.492
Au 2.506 0.000 7.476
Ga 0.000 0.000 2.492
Ga 0.000 0.000 7.476
```

Properties
V (Å³/cell): 163
DFT formation energy (eV/atom): 0.52
Space-group type: P6_3/mmc
N(E_F) (states/eV/cell): 3.41

(2)
Density functional theory data (PBE) for an optimized crystal structure of GaGeAu2.

The structure in extended XYZ format:
```
4
Lattice="3.779 0.000 0.000 1.890 3.273 0.000 1.890 1.091 6.483" Properties=species:S:1:pos:R:3 pbc="T T T"
Ga 3.779 2.182 3.264
Ge 5.669 3.273 6.450
Au 1.890 1.091 4.827
Au 1.890 1.091 1.664
```

Properties
V (Å³/cell): 80
DFT formation energy (eV/atom): -0.03
Polymorph energy (0 for the lowest one) (eV per formula unit): 0.24
Space-group type: R3m
N(E_F) (states/eV/cell): 1.55

(3)
Density functional theory data (PBE) for an optimized crystal structure of GaGeAu2.

The structure in extended XYZ format:
```
4
Lattice="-4.362 -0.967 1.518 -3.737 1.354 -2.543 -2.619 -3.220 -2.244" Properties=species:S:1:pos:R:3 pbc="T T T"
Ge -5.359 -1.417 -1.634
Au -2.680 -0.708 -0.817
Au -8.039 -2.125 -2.451
Ga 0.000 0.000 0.000
```

Properties
V (Å³/cell): 74
DFT formation energy (eV/atom): 0.05
Polymorph energy (0 for the lowest one) (eV per formula unit): 0.54
Space-group type: Fm-3m
N(E_F) (states/eV/cell): 2.42

(4)
Density functional theory data (PBE) for an optimized crystal structure of GaGeAu.

The structure in extended XYZ format:
```
6
Lattice="8.057 -0.054 0.050 2.232 3.588 -0.015 -0.721 -1.052 4.031" Properties=species:S:1:pos:R:3 pbc="T T T"
Ge 1.602 2.033 0.684
Ge 6.073 2.749 1.621
Au 5.682 0.359 0.182
Au 1.298 -0.126 2.160
Ga 6.812 0.471 2.779
Ga 3.272 1.305 3.599
```

Properties
V (Å³/cell): 117
DFT formation energy (eV/atom): -0.03
Space-group type: Cc
N(E_F) (states/eV/cell): 1.57

(5)
Density functional theory data (PBE) for an optimized crystal structure of Ga2Ge2Au.

The structure in extended XYZ format:
```
10
Lattice="6.849 0.000 0.000 0.000 6.849 0.000 0.000 0.000 4.306" Properties=species:S:1:pos:R:3 pbc="T T T"
Ge 2.474 5.899 0.000
Ge 5.899 4.375 0.000
Ge 4.375 0.951 0.000
Ge 0.951 2.474 0.000
Au 0.000 0.000 0.000
Au 3.425 3.425 0.000
Ga 1.157 4.582 2.153
Ga 4.582 5.693 2.153
Ga 5.693 2.268 2.153
Ga 2.268 1.157 2.153
```

Properties
V (Å³/cell): 202
DFT formation energy (eV/atom): 0.11
Polymorph energy (0 for the lowest one) (eV per formula unit): 0.00
Space-group type: P4/mbm
N(E_F) (states/eV/cell): 4.09

(6)
Density functional theory data (PBE) for an optimized crystal structure of Ga2Ge2Au.

The structure in extended XYZ format:
```
5
Lattice="3.727 0.000 0.000 0.000 3.727 0.000 1.863 1.863 7.193" Properties=species:S:1:pos:R:3 pbc="T T T"
Ge 3.727 1.863 3.596
Ge 1.863 3.727 3.596
Au 0.000 0.000 0.000
Ga 1.863 1.863 1.354
Ga 3.727 3.727 5.839
```

Properties
V (Å³/cell): 100
DFT formation energy (eV/atom): 0.18
Polymorph energy (0 for the lowest one) (eV per formula unit): 0.36
Space-group type: I4/mmm
N(E_F) (states/eV/cell): 1.98

(7)
Density functional theory data (PBE) for an optimized crystal structure of GaGeAu.

The structure in extended XYZ format:
```
6
Lattice="-3.916 -2.024 6.524 3.941 -2.902 -0.206 1.658 2.133 1.655" Properties=species:S:1:pos:R:3 pbc="T T T"
Ge 4.118 -1.260 0.750
Ge -0.463 -1.525 2.645
Au 0.065 -3.367 4.486
Au 1.862 -0.319 1.793
Ga -2.213 -2.400 5.515
Ga 2.399 -2.184 3.653
```

Properties
V (Å³/cell): 117
DFT formation energy (eV/atom): 0.02
Space-group type: Pm
N(E_F) (states/eV/cell): 2.18

(8)
Density functional theory data (PBE) for an optimized crystal structure of GaGeAu14.

The structure in extended XYZ format:
```
16
Lattice="-0.471 -1.099 -5.799 3.135 -3.689 3.410 -7.793 -5.138 1.606" Properties=species:S:1:pos:R:3 pbc="T T T"
Ga 2.546 -3.266 1.907
Ge 0.732 -1.963 -2.727
Au -3.163 -4.533 -1.920
Au -1.364 -5.825 2.676
Au 0.982 -1.423 0.216
Au -2.931 -3.985 0.960
Au 2.317 -3.822 -0.981
Au -1.606 -6.367 -0.229
Au -5.545 -4.859 -0.166
Au -1.540 -2.218 -0.991
Au -4.206 -7.265 -1.367
Au -0.201 -4.624 -2.192
Au -5.703 -5.371 -3.074
Au -1.838 -2.822 -3.871
Au -3.927 -6.688 1.546
Au -0.002 -4.100 0.737
```

Properties
V (Å³/cell): 289
DFT formation energy (eV/atom): 0.01
Space-group type: Amm2
N(E_F) (states/eV/cell): 6.47

(9)
Density functional theory data (PBE) for an optimized crystal structure of Ga5Ge3Au12.

The structure in extended XYZ format:
```
80
Lattice="13.202 0.000 0.000 -4.401 12.447 0.000 -4.401 -6.223 10.779" Properties=species:S:1:pos:R:3 pbc="T T T"
Ge 7.701 3.890 1.347
Ge 7.701 8.557 1.347
Ge -1.100 5.446 6.737
Ge 1.100 -0.778 4.042
Ge 9.901 0.000 2.695
Ge 1.100 6.223 2.695
Ge 3.300 0.000 8.085
Ge -5.501 6.223 8.085
Ge 3.300 7.001 6.737
Ge 5.501 0.778 4.042
Ge -3.300 -2.334 9.432
Ge -3.300 2.334 9.432
Ga -1.100 3.112 2.695
Ga -2.200 6.223 0.000
Ga 0.000 0.000 0.000
Ga 3.300 2.334 1.347
Ga 4.401 -3.112 5.390
Ga 4.401 6.223 0.000
Ga -3.300 7.001 4.042
Ga 5.501 -3.890 9.432
Ga 5.501 5.446 4.042
Ga 1.100 -3.112 8.085
Ga 3.300 9.335 2.695
Ga 2.200 3.112 5.390
Ga 6.601 0.000 0.000
Ga -2.200 -3.112 5.390
Ga -1.100 0.778 6.737
Ga -1.100 10.113 1.347
Ga -4.401 3.112 5.390
Ga 7.701 -0.778 6.737
Ga 1.100 3.890 9.432
Ga 5.501 3.112 8.085
Au 8.814 1.207 0.656
Au -0.013 4.283 4.672
Au 9.572 2.960 2.906
Au 5.830 2.075 1.373
Au 1.800 4.924 7.217
Au 9.159 5.997 1.827
Au -0.771 7.109 4.280
Au -3.630 10.372 1.373
Au 0.400 7.523 7.217
Au 6.243 6.450 1.827
Au 6.588 3.147 4.016
Au 6.588 11.240 0.656
Au -4.000 5.601 6.046
Au 2.558 4.754 1.110
Au -4.388 9.300 4.016
Au 2.188 -1.940 6.107
Au -0.400 0.676 2.483
Au 2.558 7.919 0.717
Au 5.830 9.487 2.906
Au -0.358 4.528 0.717
Au -2.601 6.900 8.296
Au 2.971 5.338 4.280
Au 6.201 6.846 6.046
Au 4.759 -1.469 9.669
Au 1.429 0.885 6.500
Au -1.800 -0.623 4.734
Au -0.358 7.693 1.110
Au -1.429 -3.264 7.873
Au 7.001 -0.676 2.483
Au 4.759 1.696 10.062
Au 1.842 -1.696 10.062
Au 2.213 8.164 4.672
Au 4.801 5.547 8.296
Au 8.789 -3.076 6.763
Au 8.401 0.623 4.734
Au -2.188 -5.016 10.123
Au 1.842 1.469 9.669
Au 4.000 -1.299 3.562
Au -1.842 -0.227 8.952
Au -2.188 3.076 6.763
Au 8.030 -4.149 9.406
Au 5.172 -0.885 6.500
Au -1.429 4.149 9.406
Au -4.759 0.227 8.952
Au 2.601 1.299 3.562
Au -5.172 3.264 7.873
Au 4.413 1.940 6.107
Au -4.413 5.016 10.123
```

Properties
V (Å³/cell): 1771
DFT formation energy (eV/atom): 0.05
Space-group type: Ia-3d
N(E_F) (states/eV/cell): 37.09

(10)
Density functional theory data (PBE) for an optimized crystal structure of GaGeAu.

The structure in extended XYZ format:
```
6
Lattice="4.732 0.000 -0.146 0.000 4.087 0.000 -2.401 0.000 5.974" Properties=species:S:1:pos:R:3 pbc="T T T"
Ge 1.880 1.022 4.934
Ge 0.451 3.065 0.894
Au -0.064 1.022 2.845
Au 2.395 3.065 2.984
Ga 2.481 1.022 1.095
Ga -0.150 3.065 4.734
```

Properties
V (Å³/cell): 114
DFT formation energy (eV/atom): 0.06
Space-group type: P2_1/m
N(E_F) (states/eV/cell): 1.74

(11)
Density functional theory data (PBE) for an optimized crystal structure of GaGeAu2.

The structure in extended XYZ format:
```
4
Lattice="3.667 0.000 0.000 0.000 4.495 0.000 0.000 0.000 4.495" Properties=species:S:1:pos:R:3 pbc="T T T"
Ge 1.834 0.000 0.000
Au 0.000 0.000 2.248
Au 0.000 2.248 0.000
Ga 1.834 2.248 2.248
```

Properties
V (Å³/cell): 74
DFT formation energy (eV/atom): 0.03
Polymorph energy (0 for the lowest one) (eV per formula unit): 0.46
Space-group type: P4/mmm
N(E_F) (states/eV/cell): 1.18

(12)
Density functional theory data (PBE) for an optimized crystal structure of GaGeAu.

The structure in extended XYZ format:
```
6
Lattice="-2.482 6.106 -0.356 -1.293 -2.933 -1.974 -3.697 -3.386 3.966" Properties=species:S:1:pos:R:3 pbc="T T T"
Ge -5.842 2.540 3.036
Ge -1.930 -1.323 -0.972
Au -2.533 -2.523 1.218
Au -2.127 3.182 -0.427
Ga -3.584 -0.295 2.189
Ga -3.940 1.219 0.082
```

Properties
V (Å³/cell): 124
DFT formation energy (eV/atom): -0.04
Space-group type: P1
N(E_F) (states/eV/cell): 2.09

(13)
Density functional theory data (PBE) for an optimized crystal structure of GaGeAu.

The structure in extended XYZ format:
```
12
Lattice="-1.269 7.475 -0.388 -3.910 -0.494 3.262 3.821 0.894 4.716" Properties=species:S:1:pos:R:3 pbc="T T T"
Ge -1.272 2.847 0.913
Ge -0.958 0.938 5.012
Ge -0.086 5.028 6.676
Ge -0.400 6.937 2.578
Au 1.293 5.873 4.445
Au -2.692 5.878 3.682
Au -2.651 2.002 3.144
Au 1.334 1.996 3.907
Ga 0.000 0.000 0.000
Ga -0.679 3.937 3.795
Ga 1.276 4.185 2.164
Ga -1.955 -0.247 1.631
```

Properties
V (Å³/cell): 238
DFT formation energy (eV/atom): 0.09
Space-group type: Pnma
N(E_F) (states/eV/cell): 4.13

(14)
Density functional theory data (PBE) for an optimized crystal structure of GaGeAu.

The structure in extended XYZ format:
```
12
Lattice="-4.051 -2.767 -1.633 2.513 -2.951 -1.235 -0.745 -4.836 10.042" Properties=species:S:1:pos:R:3 pbc="T T T"
Ge -0.828 -3.688 3.781
Ge 0.269 -7.437 8.270
Ge -1.456 -6.865 3.393
Ge -2.552 -3.117 -1.096
Au -0.015 -4.748 7.969
Au -0.356 -5.151 1.537
Au -2.269 -5.805 -0.795
Au -1.928 -5.402 5.637
Ga -3.027 -4.664 1.637
Ga -1.402 -8.052 6.339
Ga 0.744 -5.889 5.537
Ga -0.881 -2.502 0.835
```

Properties
V (Å³/cell): 235
DFT formation energy (eV/atom): 0.04
Space-group type: Pnma
N(E_F) (states/eV/cell): 5.66

(15)
Density functional theory data (PBE) for an optimized crystal structure of GaGe2Au7.

The structure in extended XYZ format:
```
10
Lattice="-0.731 -0.831 3.136 -8.626 -1.102 -2.302 6.881 -5.793 0.069" Properties=species:S:1:pos:R:3 pbc="T T T"
Ga 0.000 0.000 0.000
Ge -3.773 -3.096 0.064
Ge 1.298 -4.630 0.839
Au -5.191 -2.141 -1.777
Au 3.447 -4.754 -0.456
Au 0.868 -2.185 1.387
Au -3.343 -5.540 -0.483
Au -2.255 -1.240 0.909
Au -0.220 -6.485 -0.006
Au -1.237 -3.863 0.452
```

Properties
V (Å³/cell): 203
DFT formation energy (eV/atom): 0.00
Space-group type: Cmmm
N(E_F) (states/eV/cell): 2.54

(16)
Density functional theory data (PBE) for an optimized crystal structure of GaGeAu.

The structure in extended XYZ format:
```
6
Lattice="6.560 -0.002 0.011 0.000 3.051 0.000 0.246 -0.003 5.956" Properties=species:S:1:pos:R:3 pbc="T T T"
Ge 6.420 0.609 5.200
Ge 1.416 0.611 1.047
Au 0.705 2.136 3.155
Au 3.835 0.611 0.241
Ga 3.006 0.617 3.822
Ga 4.747 2.139 2.307
```

Properties
V (Å³/cell): 119
DFT formation energy (eV/atom): 0.00
Space-group type: P1
N(E_F) (states/eV/cell): 1.95

(17)
Density functional theory data (PBE) for an optimized crystal structure of Ga12Ge3Au5.

The structure in extended XYZ format:
```
80
Lattice="13.245 0.000 0.000 -4.415 12.488 0.000 -4.415 -6.244 10.815" Properties=species:S:1:pos:R:3 pbc="T T T"
Ge 7.727 3.902 1.352
Ge 7.727 8.585 1.352
Ge -1.104 5.463 6.759
Ge 1.104 -0.780 4.056
Ge 9.934 0.000 2.704
Ge 1.104 6.244 2.704
Ge 3.311 0.000 8.111
Ge -5.519 6.244 8.111
Ge 3.311 7.024 6.759
Ge 5.519 0.780 4.056
Ge -3.311 -2.341 9.463
Ge -3.311 2.341 9.463
Au -1.104 3.122 2.704
Au -2.208 6.244 0.000
Au 0.000 0.000 0.000
Au 3.311 2.341 1.352
Au 4.415 -3.122 5.407
Au 4.415 6.244 0.000
Au -3.311 7.024 4.056
Au 5.519 -3.902 9.463
Au 5.519 5.463 4.056
Au 1.104 -3.122 8.111
Au 3.311 9.366 2.704
Au 2.208 3.122 5.407
Au 6.623 0.000 0.000
Au -2.208 -3.122 5.407
Au -1.104 0.780 6.759
Au -1.104 10.146 1.352
Au -4.415 3.122 5.407
Au 7.727 -0.780 6.759
Au 1.104 3.902 9.463
Au 5.519 3.122 8.111
Ga 8.828 1.288 0.662
Ga 0.002 4.339 4.623
Ga 9.632 2.897 2.904
Ga 5.821 2.056 1.446
Ga 1.729 4.950 7.249
Ga 9.155 6.086 1.842
Ga -0.802 7.085 4.350
Ga -3.614 10.432 1.446
Ga 0.479 7.538 7.249
Ga 6.298 6.402 1.842
Ga 6.625 3.192 3.961
Ga 6.625 11.200 0.662
Ga -3.936 5.631 6.070
Ga 2.532 4.728 1.057
Ga -4.417 9.296 3.961
Ga 2.210 -1.905 6.192
Ga -0.479 0.681 2.504
Ga 2.532 7.918 0.784
Ga 5.821 9.591 2.904
Ga -0.325 4.570 0.784
Ga -2.687 6.925 8.311
Ga 3.009 5.403 4.350
Ga 6.144 6.857 6.070
Ga 4.740 -1.516 9.758
Ga 1.406 0.841 6.465
Ga -1.729 -0.613 4.745
Ga -0.325 7.760 1.057
Ga -1.406 -3.347 7.911
Ga 7.102 -0.681 2.504
Ga 4.740 1.674 10.031
Ga 1.883 -1.674 10.031
Ga 2.206 8.149 4.623
Ga 4.894 5.563 8.311
Ga 8.832 -3.052 6.854
Ga 8.351 0.613 4.745
Ga -2.210 -4.956 10.153
Ga 1.883 1.516 9.758
Ga 3.936 -1.294 3.566
Ga -1.883 -0.158 8.973
Ga -2.210 3.052 6.854
Ga 8.029 -4.188 9.368
Ga 5.217 -0.841 6.465
Ga -1.406 4.188 9.368
Ga -4.740 0.158 8.973
Ga 2.687 1.294 3.566
Ga -5.217 3.347 7.911
Ga 4.413 1.905 6.192
Ga -4.413 4.956 10.153
```

Properties
V (Å³/cell): 1789
DFT formation energy (eV/atom): 0.01
Space-group type: Ia-3d
N(E_F) (states/eV/cell): 37.07

(18)
Density functional theory data (PBE) for an optimized crystal structure of GaGeAu.

The structure in extended XYZ format:
```
6
Lattice="-0.693 -2.455 3.724 -1.615 -3.705 -2.735 5.531 -1.381 2.960" Properties=species:S:1:pos:R:3 pbc="T T T"
Ge -0.878 -2.760 -0.382
Ge -0.361 -1.492 1.953
Au 2.754 -4.875 4.678
Au 0.764 -5.512 2.367
Ga 2.421 -4.818 0.452
Ga 1.524 -3.051 2.937
```

Properties
V (Å³/cell): 120
DFT formation energy (eV/atom): 0.02
Space-group type: P1
N(E_F) (states/eV/cell): 2.22